(one)
## HfMgH3 (GGA-PBE)

Data for a relaxed structure of HfMgH3.

a = 3.643 Å, b = 3.643 Å, c = 3.643 Å
α = 90.00°, β = 90.00°, γ = 90.00°
Element x y z (fractional)
H 0.000 0.500 0.000
H 0.000 0.000 0.500
H 0.500 0.000 0.000
Mg 0.000 0.000 0.000
Hf 0.500 0.500 0.500

Spin magnetization = 0.00 Bohr magnetons per cell
SG = No. 221
V = 48 Å³/cell
DOS at the Fermi energy = 2.50 states/eV/f.u.

(two)
## HfMgH3 (GGA-PBE)

Data for a relaxed structure of HfMgH3.

a = 3.820 Å, b = 3.820 Å, c = 3.820 Å
α = 90.00°, β = 90.00°, γ = 90.00°
Element x y z (fractional)
H 0.000 0.500 0.000
H 0.000 0.000 0.500
H 0.500 0.000 0.000
Mg 0.500 0.500 0.500
Hf 0.000 0.000 0.000

Spin magnetization = 0.00 Bohr magnetons per cell
SG = No. 221
V = 56 Å³/cell
DOS at the Fermi energy = 1.42 states/eV/f.u.

Last place for stability: (one)

(one)
## HfMgH (GGA-PBE)

Data for a relaxed structure of HfMgH.

a = 5.206 Å, b = 3.258 Å, c = 3.258 Å
α = 120.00°, β = 90.00°, γ = 90.00°
Element x y z (fractional)
H 0.088 0.000 0.000
Mg 0.701 0.333 0.667
Hf 0.211 0.667 0.333

Spin magnetization = 0.00 Bohr magnetons per cell
SG = No. 156
V = 48 Å³/cell
DOS at the Fermi energy = 2.35 states/eV/f.u.

(two)
## HfMgH (GGA-PBE)

Data for a relaxed structure of HfMgH.

a = 5.371 Å, b = 6.331 Å, c = 5.310 Å
α = 84.82°, β = 83.76°, γ = 31.95°
Element x y z (fractional)
H 0.392 0.252 0.399
H 0.608 0.748 0.601
Mg 0.784 0.250 0.235
Mg 0.216 0.750 0.765
Hf 0.230 0.249 0.756
Hf 0.770 0.751 0.244

Spin magnetization = 0.00 Bohr magnetons per cell
SG = No. 2
V = 95 Å³/cell
DOS at the Fermi energy = 1.64 states/eV/f.u.

Last place for stability: (two)

(one)
## Hf2MgNbH (GGA-PBE)

Data for a relaxed structure of Hf2MgNbH.

a = 4.498 Å, b = 4.498 Å, c = 4.144 Å
α = 90.00°, β = 90.00°, γ = 90.00°
Element x y z (fractional)
H 0.000 0.000 0.000
Nb 0.000 0.000 0.500
Hf 0.000 0.500 0.000
Hf 0.500 0.000 0.000
Mg 0.500 0.500 0.500

Spin magnetization = 0.00 Bohr magnetons per cell
SG = No. 123
V = 84 Å³/cell
DOS at the Fermi energy = 4.68 states/eV/f.u.

(two)
## Hf2MgNbH (GGA-PBE)

Data for a relaxed structure of Hf2MgNbH.

a = 4.438 Å, b = 4.438 Å, c = 4.231 Å
α = 90.00°, β = 90.00°, γ = 90.00°
Element x y z (fractional)
H 0.000 0.000 0.000
Nb 0.500 0.500 0.500
Hf 0.000 0.500 0.000
Hf 0.500 0.000 0.000
Mg 0.000 0.000 0.500

Spin magnetization = 0.00 Bohr magnetons per cell
SG = No. 123
V = 83 Å³/cell
DOS at the Fermi energy = 4.32 states/eV/f.u.

Last place for stability: (two)

(one)
## Hf2MgHRh (GGA-PBE)

Data for a relaxed structure of Hf2MgHRh.

a = 4.439 Å, b = 4.439 Å, c = 3.930 Å
α = 90.00°, β = 90.00°, γ = 90.00°
Element x y z (fractional)
Rh 0.000 0.000 0.500
Mg 0.500 0.500 0.500
Hf 0.000 0.500 0.000
Hf 0.500 0.000 0.000
H 0.000 0.000 0.000

Spin magnetization = 0.00 Bohr magnetons per cell
SG = No. 123
V = 77 Å³/cell
DOS at the Fermi energy = 4.35 states/eV/f.u.

(two)
## Hf2MgHRh (GGA-PBE)

Data for a relaxed structure of Hf2MgHRh.

a = 4.301 Å, b = 4.301 Å, c = 4.133 Å
α = 90.00°, β = 90.00°, γ = 90.00°
Element x y z (fractional)
Rh 0.500 0.500 0.500
Mg 0.000 0.000 0.500
Hf 0.000 0.500 0.000
Hf 0.500 0.000 0.000
H 0.000 0.000 0.000

Spin magnetization = 0.00 Bohr magnetons per cell
SG = No. 123
V = 76 Å³/cell
DOS at the Fermi energy = 3.59 states/eV/f.u.

Last place for stability: (one)

(one)
## Hf2MgScH (GGA-PBE)

Data for a relaxed structure of Hf2MgScH.

a = 4.420 Å, b = 4.420 Å, c = 4.568 Å
α = 90.00°, β = 90.00°, γ = 90.00°
Element x y z (fractional)
Sc 0.500 0.500 0.500
H 0.000 0.000 0.000
Mg 0.000 0.000 0.500
Hf 0.000 0.500 0.000
Hf 0.500 0.000 0.000

Spin magnetization = 0.00 Bohr magnetons per cell
SG = No. 123
V = 89 Å³/cell
DOS at the Fermi energy = 5.07 states/eV/f.u.

(two)
## Hf2MgScH (GGA-PBE)

Data for a relaxed structure of Hf2MgScH.

a = 4.443 Å, b = 4.443 Å, c = 4.545 Å
α = 90.00°, β = 90.00°, γ = 90.00°
Element x y z (fractional)
Sc 0.000 0.000 0.500
H 0.000 0.000 0.000
Mg 0.500 0.500 0.500
Hf 0.000 0.500 0.000
Hf 0.500 0.000 0.000

Spin magnetization = 0.00 Bohr magnetons per cell
SG = No. 123
V = 90 Å³/cell
DOS at the Fermi energy = 6.53 states/eV/f.u.

Last place for stability: (one)

(one)
## HfMnHRh2 (GGA-PBE)

Data for a relaxed structure of HfMnHRh2.

a = 4.092 Å, b = 4.092 Å, c = 3.802 Å
α = 90.00°, β = 90.00°, γ = 90.00°
Last column: magnetic moment on the atom in μB.
Element x y z (fractional)
Rh 0.000 0.500 0.000  0.26
Rh 0.500 0.000 0.000  0.26
Mn 0.000 0.000 0.500  3.27
Hf 0.500 0.500 0.500  -0.15
H 0.000 0.000 0.000  -0.01

Spin magnetization = 3.69 Bohr magnetons per cell
SG = No. 123
V = 64 Å³/cell
DOS at the Fermi energy = 3.26 states/eV/f.u.

(two)
## HfMnHRh2 (GGA-PBE)

Data for a relaxed structure of HfMnHRh2.

a = 4.012 Å, b = 4.012 Å, c = 4.001 Å
α = 90.00°, β = 90.00°, γ = 90.00°
Last column: magnetic moment on the atom in μB.
Element x y z (fractional)
Rh 0.000 0.500 0.000  0.14
Rh 0.500 0.000 0.000  0.14
Mn 0.500 0.500 0.500  3.40
Hf 0.000 0.000 0.500  -0.17
H 0.000 0.000 0.000  0.00

Spin magnetization = 3.60 Bohr magnetons per cell
SG = No. 123
V = 64 Å³/cell
DOS at the Fermi energy = 3.52 states/eV/f.u.

Last place for stability: (two)